# 1
TbErAl2Ir4 after structural relaxation, computed with PBE-GGA.

```
TbErAl2Ir4
1.0
4.282 0.000 0.000
-2.141 3.709 0.000
0.000 0.000 9.143
Al Er Ir Tb
2 1 4 1
Cartesian
2.141 1.236 2.240 Al
2.141 1.236 6.903 Al
0.000 0.000 0.000 Er
0.000 2.472 1.444 Ir
0.000 0.000 3.012 Ir
0.000 0.000 6.131 Ir
0.000 2.472 7.700 Ir
0.000 2.472 4.572 Tb
```

***

# 2
TmAlFe after structural relaxation, computed with PBE-GGA.

```
TmAlFe
1.0
-3.347 -6.282 -0.351
1.881 -1.214 3.795
-5.223 2.591 3.418
Al Fe Tm
4 4 4
Cartesian
-1.858 -5.711 2.930 Al
-1.671 -1.833 4.078 Al
-5.018 -3.073 2.783 Al
-4.830 0.806 3.931 Al
0.569 -1.710 3.007 Fe
-3.058 -3.882 4.110 Fe
-3.630 -1.023 2.751 Fe
-7.257 -3.195 3.854 Fe
-2.285 -3.077 1.427 Tm
-1.202 0.356 1.989 Tm
-5.487 -5.262 4.873 Tm
-4.403 -1.828 5.434 Tm
```

***

no.,E_tot (eV/atom),total magnetization (μB per formula unit)
1,-7.23,0.008
2,-5.76,0.872